The following is a DFT calculation (PBE) of a relaxed Sr2TeHF crystal.

Unit cell a=4.1822 b=4.1822 c=13.2233 alpha=90.00 beta=90.00 gamma=90.00
With the nearest neighbours (Å) after each atom.
Sites, in units of the cell vectors:
Sr1 0.0000 0.0000 0.1463  2 F 2.50, 2 H 2.50
Sr2 0.0000 0.0000 0.8537  2 H 2.50, 2 F 2.50
Sr3 0.5000 0.5000 0.3537  2 H 2.50, 2 F 2.50
Sr4 0.5000 0.5000 0.6463  2 F 2.50, 2 H 2.50
Te1 0.0000 0.0000 0.5000  8 Sr 3.53, 4 F 3.91, 4 H 3.91
Te2 0.5000 0.5000 0.0000  8 Sr 3.53, 4 F 3.91, 4 H 3.91
H1 0.0000 0.5000 0.2500  4 Sr 2.50
H2 0.5000 0.0000 0.7500  4 Sr 2.50
F1 0.0000 0.5000 0.7500  4 Sr 2.50
F2 0.5000 0.0000 0.2500  4 Sr 2.50

Summary:
V (Å³ per atom): 23.1
Total energy (eV/atom): -4.380